First-principles (GGA-PBE) data for a geometry-optimized IrPt2Rh3 structure, as listed in the Alexandria database.

Calculated values
distance to the lowest polymorph of the same formula	237	meV/atom
formation enthalpy at 0 K	1.23	eV/f.u.
total moment	0.00	μB/f.u.
mass density	16.3	g cm⁻³
volume	15.10	A^3/atom
DFT total energy	-167.077	eV per cell

Cell: 5.408 8.797 8.797 Å, 120.00 90.00 90.00°
Sites, in units of the cell vectors:
Pt 0.250 0.000 0.500
Pt 0.750 0.000 0.000
Pt 0.250 0.000 0.000
Pt 0.750 0.500 0.000
Pt 0.750 0.000 0.500
Pt 0.750 0.500 0.500
Pt 0.250 0.500 0.500
Pt 0.250 0.500 0.000
Rh 0.000 0.833 0.666
Rh 0.500 0.334 0.167
Rh 0.500 0.833 0.167
Rh 0.000 0.167 0.833
Rh 0.000 0.167 0.334
Rh 0.000 0.833 0.167
Rh 0.000 0.666 0.833
Rh 0.500 0.167 0.833
Rh 0.000 0.334 0.167
Rh 0.500 0.666 0.833
Rh 0.500 0.167 0.334
Rh 0.500 0.833 0.666
Ir 0.500 0.667 0.333
Ir 0.000 0.667 0.333
Ir 0.500 0.333 0.667
Ir 0.000 0.333 0.667

***

First-principles (GGA-PBE) data for a geometry-optimized Th3Tl4AgTe8 structure, as listed in the Alexandria database.

Calculated values
total moment	0.28	μB/f.u.
mass density	7.6	g cm⁻³
volume	35.96	A^3/atom
DFT total energy	-71.543	eV per cell
formation energy (no corrections)	-71.4	kJ per mole of atoms

Cell: 8.961 9.754 8.970 Å, 117.42 119.97 90.00°
Sites, in units of the cell vectors:
Tl 0.500 0.000 0.500
Tl 0.000 0.000 0.500
Tl 0.000 0.000 0.000
Tl 0.500 0.000 0.000
Te 0.238 0.716 0.978
Te 0.761 0.284 0.523
Te 0.740 0.716 0.978
Te 0.741 0.724 0.483
Te 0.260 0.284 0.022
Te 0.239 0.716 0.477
Te 0.762 0.284 0.022
Te 0.259 0.276 0.517
Th 0.000 0.500 0.500
Th 0.500 0.500 0.500
Th 0.500 0.500 0.000
Ag 0.000 0.500 0.000

***

First-principles (GGA-PBE) data for a geometry-optimized TlInW2 structure, as listed in the Alexandria database.

Calculated values
distance to the lowest polymorph of the same formula	405	meV/atom
formation enthalpy at 0 K	3.74	eV/f.u.
total moment	0.00	μB/f.u.
mass density	15.0	g cm⁻³
volume	19.00	A^3/atom
DFT total energy	-27.273	eV per cell

Cell: 5.592 5.592 2.929 Å, 78.89 78.89 116.85°
Sites, in units of the cell vectors:
W 0.000 0.000 0.000
W 0.500 0.500 0.000
In 0.500 0.000 0.500
Tl 0.000 0.500 0.500

***

First-principles (GGA-PBE) data for a geometry-optimized CuGe2F structure, as listed in the Alexandria database.

Calculated values
total moment	0.00	μB/f.u.
mass density	5.6	g cm⁻³
volume	16.99	A^3/atom
DFT total energy	-32.233	eV per cell
formation energy (no corrections)	-22.1	kJ per mole of atoms

Cell: 4.189 4.189 8.292 Å, 75.37 75.37 90.00°
Sites, in units of the cell vectors:
F 0.250 0.750 0.500
F 0.500 0.500 0.000
Cu 0.000 0.000 0.000
Cu 0.750 0.250 0.500
Ge 0.169 0.625 0.250
Ge 0.875 0.831 0.750
Ge 0.375 0.419 0.750
Ge 0.581 0.125 0.250

***

First-principles (GGA-PBE) data for a geometry-optimized Tl4C3 structure, as listed in the Alexandria database.

Calculated values
distance to the lowest polymorph of the same formula	0	meV/atom
formation enthalpy at 0 K	12.03	eV/f.u.
total moment	0.00	μB/f.u.
mass density	8.7	g cm⁻³
volume	23.14	A^3/atom
DFT total energy	-25.106	eV per cell

Cell: 5.451 5.451 5.451 Å, 90.00 90.00 90.00°
Sites, in units of the cell vectors:
Tl 0.729 0.271 0.271
Tl 0.729 0.729 0.729
Tl 0.271 0.271 0.729
Tl 0.271 0.729 0.271
C 0.000 0.500 0.500
C 0.500 0.500 0.000
C 0.500 0.000 0.500

***

First-principles (GGA-PBE) data for a geometry-optimized NdScGa2 structure, as listed in the Alexandria database.

Calculated values
distance to the lowest polymorph of the same formula	14	meV/atom
formation enthalpy at 0 K	-2.25	eV/f.u.
total moment	0.00	μB/f.u.
mass density	5.8	g cm⁻³
volume	23.54	A^3/atom
DFT total energy	-77.632	eV per cell

Cell: 4.159 8.214 11.026 Å, 90.00 90.00 90.00°
Sites, in units of the cell vectors:
Ga 0.750 0.757 0.440
Ga 0.250 0.647 0.330
Ga 0.250 0.243 0.560
Ga 0.250 0.147 0.170
Ga 0.750 0.257 0.060
Ga 0.750 0.353 0.670
Ga 0.250 0.743 0.940
Ga 0.750 0.853 0.830
Sc 0.750 0.016 0.612
Sc 0.750 0.516 0.888
Sc 0.250 0.484 0.112
Sc 0.250 0.984 0.388
Nd 0.250 0.142 0.859
Nd 0.750 0.358 0.359
Nd 0.250 0.642 0.641
Nd 0.750 0.858 0.141

***

First-principles (GGA-PBE) data for a geometry-optimized SiMo2 structure, as listed in the Alexandria database.

Calculated values
distance to the lowest polymorph of the same formula	773	meV/atom
total moment	0.00	μB/f.u.
mass density	7.1	g cm⁻³
volume	17.07	A^3/atom
DFT total energy	-51.491	eV per cell
formation energy (no corrections)	43.1	kJ per mole of atoms

Cell: 3.413 5.152 5.825 Å, 90.00 90.00 90.00°
Sites, in units of the cell vectors:
Si 0.000 0.000 0.000
Si 0.500 0.500 0.500
Mo 0.000 0.801 0.379
Mo 0.500 0.699 0.879
Mo 0.000 0.199 0.621
Mo 0.500 0.301 0.121

***

First-principles (GGA-PBE) data for a geometry-optimized ScMnPCl2 structure, as listed in the Alexandria database.

Calculated values
distance to the lowest polymorph of the same formula	149	meV/atom
total moment	3.38	μB/f.u.
mass density	3.2	g cm⁻³
volume	20.65	A^3/atom
DFT total energy	-26.438	eV per cell
formation energy (no corrections)	-35.4	kJ per mole of atoms

Cell: 4.524 4.524 5.046 Å, 90.00 90.00 90.00°
Each line ends with the local moment (μB).
Sites, in units of the cell vectors:
Sc 0.500 0.500 0.500  -0.29
P 0.000 0.000 0.500  0.01
Mn 0.000 0.000 0.000  3.42
Cl 0.000 0.500 0.000  0.04
Cl 0.500 0.000 0.000  0.04

***

First-principles (GGA-PBE) data for a geometry-optimized LiCd2Ir structure, as listed in the Alexandria database.

Calculated values
formation enthalpy at 0 K	1.33	eV/f.u.
total moment	0.00	μB/f.u.
mass density	9.1	g cm⁻³
volume	19.28	A^3/atom
DFT total energy	-22.557	eV per cell

Cell: 4.048 4.048 9.837 Å, 78.13 78.13 90.00°
Sites, in units of the cell vectors:
Ir 0.000 0.000 0.000
Ir 0.750 0.250 0.500
Li 0.500 0.500 0.000
Li 0.250 0.750 0.500
Cd 0.375 0.369 0.750
Cd 0.119 0.625 0.250
Cd 0.875 0.881 0.750
Cd 0.631 0.125 0.250

***

First-principles (GGA-PBE) data for a geometry-optimized Au2SeBr structure, as listed in the Alexandria database.

Calculated values
distance to the lowest polymorph of the same formula	29	meV/atom
total moment	0.00	μB/f.u.
mass density	9.1	g cm⁻³
volume	25.28	A^3/atom
DFT total energy	-11.536	eV per cell
formation energy (no corrections)	4.2	kJ per mole of atoms

Cell: 4.025 4.025 7.580 Å, 74.35 74.35 60.06°
Sites, in units of the cell vectors:
Br 0.475 0.475 0.574
Au 0.000 0.000 0.000
Au 0.741 0.741 0.778
Se 0.284 0.284 0.148

***

First-principles (GGA-PBE) data for a geometry-optimized Si2NiW structure, as listed in the Alexandria database.

Calculated values
distance to the lowest polymorph of the same formula	12	meV/atom
total moment	0.00	μB/f.u.
mass density	9.3	g cm⁻³
volume	13.31	A^3/atom
DFT total energy	-30.357	eV per cell
formation energy (no corrections)	-18.7	kJ per mole of atoms

Cell: 3.776 2.821 4.997 Å, 89.99 90.00 90.00°
Sites, in units of the cell vectors:
Ni 0.500 0.750 0.750
Si 0.000 0.750 0.004
Si 0.000 0.750 0.496
W 0.500 0.250 0.250

***

First-principles (GGA-PBE) data for a geometry-optimized Ac5DyHg4 structure, as listed in the Alexandria database.

Calculated values
formation enthalpy at 0 K	-3.58	eV/f.u.
total moment	0.74	μB/f.u.
mass density	10.1	g cm⁻³
volume	34.36	A^3/atom
DFT total energy	-29.931	eV per cell

Cell: 4.015 4.015 21.309 Å, 90.00 90.00 90.00°
Each line ends with the local moment (μB).
Sites, in units of the cell vectors:
Dy 0.000 0.000 0.000  -0.01
Ac 0.500 0.500 0.500  0.09
Ac 0.500 0.500 0.883  0.01
Ac 0.500 0.500 0.692  0.08
Ac 0.500 0.500 0.308  0.08
Ac 0.500 0.500 0.117  0.01
Hg 0.000 0.000 0.790  0.01
Hg 0.000 0.000 0.595  0.01
Hg 0.000 0.000 0.405  0.01
Hg 0.000 0.000 0.210  0.01

***

First-principles (GGA-PBE) data for a geometry-optimized TiIBr2 structure, as listed in the Alexandria database.

Calculated values
distance to the lowest polymorph of the same formula	249	meV/atom
total moment	1.88	μB/f.u.
mass density	4.3	g cm⁻³
volume	32.29	A^3/atom
DFT total energy	-15.675	eV per cell
formation energy (no corrections)	-69.6	kJ per mole of atoms

Cell: 11.584 11.584 11.584 Å, 17.97 17.97 17.97°
Each line ends with the local moment (μB).
Sites, in units of the cell vectors:
Br 0.119 0.119 0.119  0.00
Br 0.881 0.881 0.881  0.00
Ti 0.500 0.500 0.500  1.46
I 0.000 0.000 0.000  0.05

***

First-principles (GGA-PBE) data for a geometry-optimized Ba2Pt structure, as listed in the Alexandria database.

Calculated values
formation enthalpy at 0 K	-1.76	eV/f.u.
total moment	0.00	μB/f.u.
mass density	6.3	g cm⁻³
volume	41.22	A^3/atom
DFT total energy	-46.602	eV per cell

Cell: 7.909 7.909 7.909 Å, 90.00 90.00 90.00°
Sites, in units of the cell vectors:
Ba 0.833 0.167 0.667
Ba 0.333 0.333 0.333
Ba 0.167 0.667 0.833
Ba 0.667 0.667 0.667
Ba 0.167 0.833 0.333
Ba 0.833 0.333 0.167
Ba 0.333 0.167 0.833
Ba 0.667 0.833 0.167
Pt 0.500 0.500 0.000
Pt 0.500 0.000 0.500
Pt 0.000 0.500 0.500
Pt 0.000 0.000 0.000

***

First-principles (GGA-PBE) data for a geometry-optimized MnIn2Pb structure, as listed in the Alexandria database.

Calculated values
formation enthalpy at 0 K	1.06	eV/f.u.
total moment	3.61	μB/f.u.
mass density	8.4	g cm⁻³
volume	24.44	A^3/atom
DFT total energy	-17.292	eV per cell

Cell: 10.437 10.437 10.437 Å, 18.29 18.29 18.29°
Each line ends with the local moment (μB).
Sites, in units of the cell vectors:
In 0.240 0.240 0.240  -0.05
In 0.995 0.995 0.995  -0.03
Pb 0.761 0.761 0.761  -0.04
Mn 0.504 0.504 0.504  3.65

***

First-principles (GGA-PBE) data for a geometry-optimized LaCrAg2Sb structure, as listed in the Alexandria database.

Calculated values
distance to the lowest polymorph of the same formula	0	meV/atom
total moment	3.81	μB/f.u.
mass density	6.3	g cm⁻³
volume	27.74	A^3/atom
DFT total energy	-22.312	eV per cell
formation energy (no corrections)	39.8	kJ per mole of atoms

Cell: 5.226 5.078 5.226 Å, 90.00 90.00 90.00°
Each line ends with the local moment (μB).
Sites, in units of the cell vectors:
Ag 0.500 0.000 0.000  0.01
Ag 0.000 0.000 0.500  0.01
Sb 0.000 0.000 0.000  -0.06
La 0.500 0.500 0.500  0.02
Cr 0.000 0.500 0.000  3.43

***

First-principles (GGA-PBE) data for a geometry-optimized Ca3Ga9Cu2 structure, as listed in the Alexandria database.

Calculated values
formation enthalpy at 0 K	-5.44	eV/f.u.
total moment	0.00	μB/f.u.
mass density	5.5	g cm⁻³
volume	18.77	A^3/atom
DFT total energy	-46.877	eV per cell

Cell: 4.346 8.208 8.208 Å, 71.78 74.65 74.65°
Sites, in units of the cell vectors:
Ga 0.346 0.019 0.290
Ga 0.000 0.500 0.500
Ga 0.139 0.579 0.143
Ga 0.654 0.710 0.981
Ga 0.861 0.857 0.421
Ga 0.139 0.143 0.579
Ga 0.861 0.421 0.857
Ga 0.654 0.981 0.710
Ga 0.346 0.290 0.019
Ca 0.698 0.302 0.302
Ca 0.302 0.698 0.698
Ca 0.000 0.000 0.000
Cu 0.500 0.312 0.688
Cu 0.500 0.688 0.312

***

First-principles (GGA-PBE) data for a geometry-optimized HfHI3 structure, as listed in the Alexandria database.

Calculated values
distance to the lowest polymorph of the same formula	887	meV/atom
total moment	0.00	μB/f.u.
mass density	7.6	g cm⁻³
volume	24.62	A^3/atom
DFT total energy	-14.316	eV per cell

Cell: 4.974 4.974 4.974 Å, 90.00 90.00 90.00°
Sites, in units of the cell vectors:
Hf 0.500 0.500 0.500
I 0.500 0.000 0.000
I 0.000 0.000 0.500
I 0.000 0.500 0.000
H 0.000 0.000 0.000

***

First-principles (GGA-PBE) data for a geometry-optimized LaNdPd3 structure, as listed in the Alexandria database.

Calculated values
distance to the lowest polymorph of the same formula	0	meV/atom
formation enthalpy at 0 K	-3.95	eV/f.u.
total moment	0.00	μB/f.u.
mass density	8.7	g cm⁻³
volume	23.00	A^3/atom
DFT total energy	-116.897	eV per cell

Cell: 7.058 8.047 8.100 Å, 90.00 90.00 90.00°
Sites, in units of the cell vectors:
Pd 0.617 0.143 0.252
Pd 0.383 0.857 0.252
Pd 0.000 0.000 0.253
Pd 0.617 0.143 0.748
Pd 0.117 0.357 0.248
Pd 0.117 0.357 0.752
Pd 0.500 0.500 0.753
Pd 0.000 0.000 0.747
Pd 0.883 0.643 0.752
Pd 0.500 0.500 0.247
Pd 0.383 0.857 0.748
Pd 0.883 0.643 0.248
La 0.780 0.363 0.500
La 0.280 0.137 0.000
La 0.720 0.863 0.000
La 0.220 0.637 0.500
Nd 0.783 0.364 0.000
Nd 0.717 0.864 0.500
Nd 0.217 0.636 0.000
Nd 0.283 0.136 0.500

***

First-principles (GGA-PBE) data for a geometry-optimized ZrAgIr3 structure, as listed in the Alexandria database.

Calculated values
distance to the lowest polymorph of the same formula	0	meV/atom
formation enthalpy at 0 K	7.91	eV/f.u.
total moment	0.31	μB/f.u.
mass density	11.2	g cm⁻³
volume	23.01	A^3/atom
DFT total energy	-30.073	eV per cell

Cell: 4.864 4.864 4.864 Å, 90.00 90.00 90.00°
Each line ends with the local moment (μB).
Sites, in units of the cell vectors:
Ir 0.500 0.000 0.000  0.09
Ir 0.000 0.000 0.500  0.13
Ir 0.000 0.500 0.000  0.11
Zr 0.000 0.000 0.000  -0.01
Ag 0.500 0.500 0.500  0.00

***

First-principles (GGA-PBE) data for a geometry-optimized TbPm2Ho5Er structure, as listed in the Alexandria database.

Calculated values
formation enthalpy at 0 K	2.50	eV/f.u.
total moment	0.00	μB/f.u.
mass density	8.3	g cm⁻³
volume	32.04	A^3/atom
DFT total energy	-78.171	eV per cell

Cell: 8.603 8.603 9.886 Å, 115.79 115.79 90.00°
Sites, in units of the cell vectors:
Ho 0.148 0.072 0.721
Ho 0.648 0.148 0.721
Ho 0.928 0.428 0.279
Ho 0.072 0.572 0.721
Ho 0.000 0.000 0.000
Ho 0.852 0.928 0.279
Ho 0.500 0.500 0.000
Ho 0.428 0.352 0.279
Ho 0.572 0.648 0.721
Ho 0.352 0.852 0.279
Er 0.750 0.250 0.500
Er 0.250 0.750 0.500
Pm 0.617 0.117 0.000
Pm 0.883 0.617 0.000
Pm 0.383 0.883 0.000
Pm 0.117 0.383 0.000
Tb 0.750 0.750 0.500
Tb 0.250 0.250 0.500

***

First-principles (GGA-PBE) data for a geometry-optimized Ga2AgF8 structure, as listed in the Alexandria database.

Calculated values
distance to the lowest polymorph of the same formula	0	meV/atom
total moment	1.04	μB/f.u.
mass density	4.8	g cm⁻³
volume	12.63	A^3/atom
DFT total energy	-46.846	eV per cell
formation energy (no corrections)	-201.5	kJ per mole of atoms

Cell: 5.391 5.181 5.181 Å, 76.11 96.65 96.65°
Each line ends with the local moment (μB).
Sites, in units of the cell vectors:
Ga 0.455 0.686 0.686  0.01
Ga 0.545 0.314 0.314  0.01
F 0.649 0.669 0.049  0.05
F 0.351 0.951 0.331  0.05
F 0.721 0.558 0.558  0.00
F 0.279 0.442 0.442  0.00
F 0.159 0.784 0.784  0.10
F 0.649 0.049 0.669  0.05
F 0.841 0.216 0.216  0.10
F 0.351 0.331 0.951  0.05
Ag 0.000 0.000 0.000  0.60

***

First-principles (GGA-PBE) data for a geometry-optimized BaHg2Os structure, as listed in the Alexandria database.

Calculated values
distance to the lowest polymorph of the same formula	0	meV/atom
formation enthalpy at 0 K	1.52	eV/f.u.
total moment	0.00	μB/f.u.
mass density	10.7	g cm⁻³
volume	28.38	A^3/atom
DFT total energy	-12.234	eV per cell

Cell: 4.760 4.760 6.402 Å, 68.15 68.15 60.05°
Sites, in units of the cell vectors:
Hg 0.783 0.783 0.650
Hg 0.042 0.042 0.874
Os 0.432 0.432 0.703
Ba 0.243 0.243 0.273